The following is a PBE-GGA calculation of a geometry-optimized NaTe2Au structure, from Alexandria via LeMat-Bulk.

Properties
Fermi-level density of states, states/eV/atom: 0.898
Crystal system: trigonal
Total magnetic moment, Bohr magnetons per cell: 0.00
Calculated volume, Å³/f.u.: 114.8
Formation energy without anion corrections, eV/atom: -0.235
E_tot, eV per atom: -2.96

a b c (Å): 4.198 4.198 22.562
angles (deg): 90.00 90.00 120.00
Atoms (fractional coordinates):
Na  0.000  0.000  0.000
Na  0.333  0.667  0.667
Na  0.667  0.333  0.333
Te  0.000  0.000  0.567
Te  0.000  0.000  0.764
Te  0.333  0.667  0.234
Te  0.333  0.667  0.431
Te  0.667  0.333  0.097
Te  0.667  0.333  0.900
Au  0.000  0.000  0.165
Au  0.333  0.667  0.832
Au  0.667  0.333  0.499